[1]
# KSb2TeO | Alexandria | SCAN | PBEsol geometry
data_KSb2TeO
_cell_length_a 5.7890
_cell_length_b 5.7890
_cell_length_c 5.8124
_cell_angle_alpha 90.00
_cell_angle_beta 90.00
_cell_angle_gamma 90.00
_space_group_name_H-M_alt 'P 4/m m m'
_space_group_IT_number 123
_space_group_name_Hall '-P 4 2'
loop_
_atom_site_label
_atom_site_type_symbol
_atom_site_fract_x
_atom_site_fract_y
_atom_site_fract_z
K1 K 0.0000 0.0000 0.0000
Sb1 Sb 0.0000 0.5000 0.0000
Te1 Te 0.0000 0.0000 0.5000
O1 O 0.5000 0.5000 0.5000
# - N(E_F): 5.5 states/eV/cell
# - Raw formation energy: 1.618 eV per atom

=====

[2]
# KV2SbO8 | Alexandria | SCAN | PBEsol geometry
data_KV2SbO8
_cell_length_a 14.7395
_cell_length_b 5.5594
_cell_length_c 8.6085
_cell_angle_alpha 90.00
_cell_angle_beta 90.00
_cell_angle_gamma 90.00
_space_group_name_H-M_alt 'P n m a'
_space_group_IT_number 62
_space_group_name_Hall '-P 2ac 2n'
loop_
_atom_site_label
_atom_site_type_symbol
_atom_site_fract_x
_atom_site_fract_y
_atom_site_fract_z
K1 K 0.1176 0.2500 0.0605
V1 V 0.0259 0.7500 0.2917
V2 V 0.2169 0.2500 0.4888
Sb1 Sb 0.1199 0.7500 0.6817
O1 O 0.0378 0.5026 0.7703
O2 O 0.0481 0.7500 0.4877
O3 O 0.1175 0.7500 0.1889
O4 O 0.1340 0.2500 0.3679
O5 O 0.1803 0.7500 0.8867
O6 O 0.2079 0.5086 0.6052
# - N(E_F): 0.0 states/eV/cell
# - Raw formation energy: -2.255 eV per atom

=====

[3]
# KSbWO6 | Alexandria | SCAN | PBEsol geometry
data_KSbWO6
_cell_length_a 7.2225
_cell_length_b 10.2307
_cell_length_c 7.4496
_cell_angle_alpha 90.00
_cell_angle_beta 90.00
_cell_angle_gamma 90.00
_space_group_name_H-M_alt 'I m a 2'
_space_group_IT_number 46
_space_group_name_Hall 'I 2 -2a'
loop_
_atom_site_label
_atom_site_type_symbol
_atom_site_fract_x
_atom_site_fract_y
_atom_site_fract_z
K1 K 0.2500 0.1616 0.0000
Sb1 Sb 0.0000 0.0000 0.3915
W1 W 0.2500 0.7414 0.1672
O1 O 0.0624 0.6276 0.0823
O2 O 0.0632 0.6283 0.7005
O3 O 0.2500 0.0788 0.3837
O4 O 0.2500 0.6890 0.3978
# - N(E_F): 0.0 states/eV/cell
# - Raw formation energy: -2.031 eV per atom

=====

[4]
# KZn4SbO7 | Alexandria | SCAN | PBEsol geometry
data_KZn4SbO7
_cell_length_a 6.1449
_cell_length_b 6.1449
_cell_length_c 9.9784
_cell_angle_alpha 90.00
_cell_angle_beta 90.00
_cell_angle_gamma 120.00
_space_group_name_H-M_alt 'P 63 m c'
_space_group_IT_number 186
_space_group_name_Hall 'P 6c -2c'
loop_
_atom_site_label
_atom_site_type_symbol
_atom_site_fract_x
_atom_site_fract_y
_atom_site_fract_z
K1 K 0.3333 0.6667 0.0000
Zn1 Zn 0.0000 0.0000 0.0702
Zn2 Zn 0.1734 0.3469 0.3156
Sb1 Sb 0.3333 0.6667 0.6272
O1 O 0.0000 0.0000 0.2649
O2 O 0.0229 0.5114 0.7428
O3 O 0.1777 0.3554 0.5111
# - Raw formation energy: -1.688 eV per atom

=====

[5]
# KScO3 | Alexandria | SCAN | PBEsol geometry
data_KScO3
_cell_length_a 4.1252
_cell_length_b 4.1252
_cell_length_c 4.1252
_cell_angle_alpha 90.00
_cell_angle_beta 90.00
_cell_angle_gamma 90.00
_space_group_name_H-M_alt 'P m -3 m'
_space_group_IT_number 221
_space_group_name_Hall '-P 4 2 3'
loop_
_atom_site_label
_atom_site_type_symbol
_atom_site_fract_x
_atom_site_fract_y
_atom_site_fract_z
K1 K 0.0000 0.0000 0.0000
Sc1 Sc 0.5000 0.5000 0.5000
O1 O 0.0000 0.0000 0.5000
# - N(E_F): 1.2 states/eV/cell
# - Raw formation energy: -0.081 eV per atom

=====

[6]
# KScO2 | Alexandria | SCAN | PBEsol geometry
data_KScO2
_cell_length_a 5.7652
_cell_length_b 5.7652
_cell_length_c 8.4568
_cell_angle_alpha 90.00
_cell_angle_beta 90.00
_cell_angle_gamma 90.00
_space_group_name_H-M_alt 'I -4 2 d'
_space_group_IT_number 122
_space_group_name_Hall 'I -4 2bw'
loop_
_atom_site_label
_atom_site_type_symbol
_atom_site_fract_x
_atom_site_fract_y
_atom_site_fract_z
K1 K 0.0000 0.0000 0.0000
Sc1 Sc 0.0000 0.0000 0.5000
O1 O 0.1470 0.2500 0.6250
# - N(E_F): 0.0 states/eV/cell
# - Raw formation energy: -2.953 eV per atom

=====

E_tot values (in Ha/atom) by entry order: -0.86905, -0.48224, -0.69801, -0.46705, -0.30622, -0.43032.
Total magnetic moment values (in μB per formula unit) by entry order: 2.263, 0.000, 0.000, 0.000, 0.478, 0.000.